1.
The following is a DFT calculation (PBE-GGA) of a relaxed structure of Pm8Y5Er.

Calculated values
Space group: C2 (5)
M_tot: 0.0001 μB per atom
E_tot: -5.0886 eV per atom
Calculated density: 6.1 Mg/m³
ΔH_f (0 K): 261 meV/atom

Geometry as CIF:
```
data_Pm8Y5Er
_chemical_formula_sum 'Pm8 Y5 Er1'
_space_group_name_H-M_alt 'P 1'
_space_group_IT_number 1
_cell_length_a 8.5670
_cell_length_b 8.5806
_cell_length_c 8.5669
_cell_angle_alpha 110.91
_cell_angle_beta 106.47
_cell_angle_gamma 111.00
loop_
_space_group_symop_operation_xyz
'x,y,z'
loop_
_atom_site_label
_atom_site_type_symbol
_atom_site_fract_x
_atom_site_fract_y
_atom_site_fract_z
Pm1 Pm 0.1619 0.7310 0.0745
Pm2 Pm 0.9259 0.0867 0.6558
Pm3 Pm 0.7344 0.2612 0.3381
Pm4 Pm 0.6622 0.3963 0.9228
Pm5 Pm 0.5266 0.6037 0.2660
Pm6 Pm 0.5690 0.9133 0.8391
Pm7 Pm 0.3434 0.2690 0.4309
Pm8 Pm 0.0769 0.7388 0.4732
Y1 Y 0.0346 0.3145 0.1291
Y2 Y 0.8705 0.9051 0.1847
Y3 Y 0.8146 0.6855 0.7201
Y4 Y 0.5001 0.0000 0.5001
Y5 Y 0.2796 0.0949 0.9654
Er1 Er 0.2502 0.5000 0.7502
```

2.
The following is a DFT calculation (PBE-GGA) of a relaxed structure of CsNb2NCl.

Calculated values
Space group: P4/mmm (123)
E_form (uncorrected): 3.40 eV per atom
M_tot: 0.8655 μB per atom
E_tot: -2.8369 eV per atom
Calculated density: 4.0 Mg/m³

Geometry as CIF:
```
data_CsNb2NCl
_chemical_formula_sum 'Cs1 Nb2 N1 Cl1'
_space_group_name_H-M_alt 'P 1'
_space_group_IT_number 1
_cell_length_a 5.2346
_cell_length_b 5.5242
_cell_length_c 5.2346
_cell_angle_alpha 90.00
_cell_angle_beta 90.00
_cell_angle_gamma 90.00
loop_
_space_group_symop_operation_xyz
'x,y,z'
loop_
_atom_site_label
_atom_site_type_symbol
_atom_site_fract_x
_atom_site_fract_y
_atom_site_fract_z
Cs1 Cs 0.0000 0.0000 0.0000
Nb1 Nb 0.0000 0.0000 0.5000
Nb2 Nb 0.5000 0.0000 0.0000
N1 N 0.5000 0.5000 0.5000
Cl1 Cl 0.0000 0.5000 0.0000
```

3.
The following is a DFT calculation (PBE-GGA) of a relaxed structure of BaHf2IrO8.

Calculated values
Space group: C2/m (12)
E_form (uncorrected): -2.30 eV per atom
M_tot: 0.1068 μB per atom
E_tot: -8.1585 eV per atom
Calculated density: 7.2 Mg/m³

Geometry as CIF:
```
data_BaHf2IrO8
_chemical_formula_sum 'Ba1 Hf2 Ir1 O8'
_space_group_name_H-M_alt 'P 1'
_space_group_IT_number 1
_cell_length_a 5.2215
_cell_length_b 5.2214
_cell_length_c 7.1984
_cell_angle_alpha 81.37
_cell_angle_beta 81.37
_cell_angle_gamma 78.17
loop_
_space_group_symop_operation_xyz
'x,y,z'
loop_
_atom_site_label
_atom_site_type_symbol
_atom_site_fract_x
_atom_site_fract_y
_atom_site_fract_z
Ba1 Ba 0.0000 0.0000 0.5000
Hf1 Hf 0.4533 0.4533 0.7275
Hf2 Hf 0.5467 0.5467 0.2725
Ir1 Ir 0.0000 0.0000 0.0000
O1 O 0.2268 0.7884 0.1885
O2 O 0.7670 0.7667 0.0673
O3 O 0.7881 0.2266 0.1885
O4 O 0.7732 0.2116 0.8115
O5 O 0.2330 0.2333 0.9327
O6 O 0.2119 0.7734 0.8115
O7 O 0.6588 0.6586 0.4963
O8 O 0.3412 0.3414 0.5037
```

4.
The following is a DFT calculation (PBE-GGA) of a relaxed structure of Pm3YS4.

Calculated values
Space group: P2/c (13)
E_form (uncorrected): -2.03 eV per atom
M_tot: 0.0000 μB per atom
E_tot: -6.6800 eV per atom
Calculated density: 6.0 Mg/m³

Geometry as CIF:
```
data_Pm3YS4
_chemical_formula_sum 'Pm6 Y2 S8'
_space_group_name_H-M_alt 'P 1'
_space_group_IT_number 1
_cell_length_a 6.9511
_cell_length_b 6.9708
_cell_length_c 7.9520
_cell_angle_alpha 90.00
_cell_angle_beta 90.00
_cell_angle_gamma 109.40
loop_
_space_group_symop_operation_xyz
'x,y,z'
loop_
_atom_site_label
_atom_site_type_symbol
_atom_site_fract_x
_atom_site_fract_y
_atom_site_fract_z
Y1 Y 0.7500 0.0000 0.8738
Y2 Y 0.2500 0.0000 0.1262
S1 S 0.9960 0.2461 0.6292
S2 S 0.5002 0.2425 0.8790
S3 S 0.4960 0.2461 0.3708
S4 S 0.0002 0.2425 0.1210
S5 S 0.9998 0.7575 0.8790
S6 S 0.5040 0.7539 0.6292
S7 S 0.4998 0.7575 0.1210
S8 S 0.0040 0.7539 0.3708
Pm1 Pm 0.7500 0.0000 0.3760
Pm2 Pm 0.2500 0.0000 0.6240
Pm3 Pm 0.7500 0.5000 0.6235
Pm4 Pm 0.7500 0.5000 0.1261
Pm5 Pm 0.2500 0.5000 0.3765
Pm6 Pm 0.2500 0.5000 0.8739
```

5.
The following is a DFT calculation (PBE-GGA) of a relaxed structure of Pm3Ni4Ge4.

Calculated values
Space group: Immm (71)
M_tot: 0.0000 μB per atom
E_tot: -5.8026 eV per atom
Calculated density: 7.8 Mg/m³
ΔH_f (0 K): -726 meV/atom

Geometry as CIF:
```
data_Pm3Ni4Ge4
_chemical_formula_sum 'Pm3 Ni4 Ge4'
_space_group_name_H-M_alt 'P 1'
_space_group_IT_number 1
_cell_length_a 4.1721
_cell_length_b 4.0907
_cell_length_c 12.2986
_cell_angle_alpha 99.57
_cell_angle_beta 99.77
_cell_angle_gamma 90.00
loop_
_space_group_symop_operation_xyz
'x,y,z'
loop_
_atom_site_label
_atom_site_type_symbol
_atom_site_fract_x
_atom_site_fract_y
_atom_site_fract_z
Pm1 Pm 0.3498 0.8498 0.6995
Pm2 Pm 0.6502 0.1502 0.3005
Pm3 Pm 0.0000 0.0000 0.0000
Ni1 Ni 0.2494 0.2494 0.4988
Ni2 Ni 0.0983 0.5983 0.1967
Ni3 Ni 0.9017 0.4017 0.8033
Ni4 Ni 0.7506 0.7506 0.5012
Ge1 Ge 0.8019 0.3019 0.6037
Ge2 Ge 0.4468 0.4468 0.8935
Ge3 Ge 0.5532 0.5532 0.1065
Ge4 Ge 0.1981 0.6981 0.3963
```

6.
The following is a DFT calculation (PBE-GGA) of a relaxed structure of Mn2GaN.

Calculated values
Space group: Ima2 (46)
E_form (uncorrected): -0.15 eV per atom
M_tot: 0.6832 μB per atom
E_tot: -7.5758 eV per atom
Calculated density: 7.1 Mg/m³

Geometry as CIF:
```
data_Mn2GaN
_chemical_formula_sum 'Mn4 Ga2 N2'
_space_group_name_H-M_alt 'P 1'
_space_group_IT_number 1
_cell_length_a 5.0248
_cell_length_b 5.0237
_cell_length_c 5.0248
_cell_angle_alpha 62.50
_cell_angle_beta 59.34
_cell_angle_gamma 91.63
loop_
_space_group_symop_operation_xyz
'x,y,z'
loop_
_atom_site_label
_atom_site_type_symbol
_atom_site_fract_x
_atom_site_fract_y
_atom_site_fract_z
Mn1 Mn 0.0878 0.1924 0.4325
Mn2 Mn 0.8825 0.6361 0.5819
Mn3 Mn 0.4948 0.7488 0.0815
Mn4 Mn 0.0879 0.6924 0.9325
Ga1 Ga 0.5528 0.2704 0.5450
Ga2 Ga 0.8976 0.1147 0.0454
N1 N 0.2858 0.8795 0.4216
N2 N 0.4118 0.5055 0.9216
```